# 1
The following is a PBE calculation of an optimized crystal structure of In2SnAs2, from Alexandria via LeMat-Bulk.

Structure (POSCAR):
```
In2SnAs2
1.0
8.006 0.000 0.000
0.000 8.006 0.000
0.000 0.000 3.788
In Sn As
4 2 4
Direct
0.146 0.354 0.000 In
0.354 0.854 0.000 In
0.646 0.146 0.000 In
0.854 0.646 0.000 In
0.000 0.000 0.500 Sn
0.500 0.500 0.500 Sn
0.158 0.658 0.500 As
0.342 0.158 0.500 As
0.658 0.842 0.500 As
0.842 0.342 0.500 As
```

- ρ (Mg/m³) = 6.82
- offset from the most stable computed form (meV/atom) = 0.0
- ΔE_f (meV/atom) = 56


# 2
The following is a PBE calculation of an optimized crystal structure of In2SnAs2, from Alexandria via LeMat-Bulk.

Structure (POSCAR):
```
In2SnAs2
1.0
-1.924 1.924 8.634
1.924 -1.924 8.634
1.924 1.924 -8.634
In Sn As
2 1 2
Direct
0.108 0.108 0.000 In
0.892 0.892 0.000 In
0.500 0.500 0.000 Sn
0.250 0.750 0.500 As
0.750 0.250 0.500 As
```

- ρ (Mg/m³) = 6.47
- offset from the most stable computed form (meV/atom) = 61.3
- ΔE_f (meV/atom) = 117


# 3
The following is a PBE calculation of an optimized crystal structure of In2SnAs2, from Alexandria via LeMat-Bulk.

Structure (POSCAR):
```
In2SnAs2
1.0
-2.163 2.163 6.960
2.163 -2.163 6.960
2.163 2.163 -6.960
In Sn As
2 1 2
Direct
0.250 0.750 0.500 In
0.750 0.250 0.500 In
0.000 0.000 0.000 Sn
0.409 0.409 0.000 As
0.591 0.591 0.000 As
```

- ρ (Mg/m³) = 6.35
- offset from the most stable computed form (meV/atom) = 90.1
- ΔE_f (meV/atom) = 146


# 4
The following is a PBE calculation of an optimized crystal structure of In12Sn5As3, from Alexandria via LeMat-Bulk.

Structure (POSCAR):
```
In12Sn5As3
1.0
-8.590 8.590 8.590
8.590 -8.590 8.590
8.590 8.590 -8.590
In Sn As
48 20 12
Direct
0.067 0.234 0.142 In
0.067 0.333 0.925 In
0.075 0.642 0.408 In
0.075 0.933 0.667 In
0.092 0.734 0.667 In
0.092 0.858 0.425 In
0.142 0.067 0.234 In
0.142 0.575 0.908 In
0.167 0.234 0.592 In
0.167 0.433 0.575 In
0.234 0.142 0.067 In
0.234 0.592 0.167 In
0.266 0.333 0.908 In
0.266 0.433 0.358 In
0.333 0.908 0.266 In
0.333 0.925 0.067 In
0.358 0.266 0.433 In
0.358 0.592 0.925 In
0.408 0.075 0.642 In
0.408 0.833 0.766 In
0.425 0.092 0.858 In
0.425 0.833 0.567 In
0.433 0.358 0.266 In
0.433 0.575 0.167 In
0.567 0.425 0.833 In
0.567 0.642 0.734 In
0.575 0.167 0.433 In
0.575 0.908 0.142 In
0.592 0.167 0.234 In
0.592 0.925 0.358 In
0.642 0.408 0.075 In
0.642 0.734 0.567 In
0.667 0.075 0.933 In
0.667 0.092 0.734 In
0.734 0.567 0.642 In
0.734 0.667 0.092 In
0.766 0.408 0.833 In
0.766 0.858 0.933 In
0.833 0.567 0.425 In
0.833 0.766 0.408 In
0.858 0.425 0.092 In
0.858 0.933 0.766 In
0.908 0.142 0.575 In
0.908 0.266 0.333 In
0.925 0.067 0.333 In
0.925 0.358 0.592 In
0.933 0.667 0.075 In
0.933 0.766 0.858 In
0.000 0.000 0.000 Sn
0.000 0.000 0.500 Sn
0.000 0.500 0.000 Sn
0.000 0.500 0.500 Sn
0.125 0.750 0.875 Sn
0.125 0.875 0.250 Sn
0.250 0.125 0.875 Sn
0.250 0.625 0.375 Sn
0.375 0.250 0.625 Sn
0.375 0.625 0.750 Sn
0.500 0.000 0.000 Sn
0.500 0.000 0.500 Sn
0.500 0.500 0.000 Sn
0.500 0.500 0.500 Sn
0.625 0.375 0.250 Sn
0.625 0.750 0.375 Sn
0.750 0.375 0.625 Sn
0.750 0.875 0.125 Sn
0.875 0.125 0.750 Sn
0.875 0.250 0.125 Sn
0.125 0.250 0.375 As
0.125 0.375 0.750 As
0.250 0.375 0.125 As
0.250 0.875 0.625 As
0.375 0.125 0.250 As
0.375 0.750 0.125 As
0.625 0.250 0.875 As
0.625 0.875 0.750 As
0.750 0.125 0.375 As
0.750 0.625 0.875 As
0.875 0.625 0.250 As
0.875 0.750 0.625 As
```

- ρ (Mg/m³) = 5.75
- ΔE_f (meV/atom) = 152


# 5
The following is a PBE calculation of an optimized crystal structure of InSnAs3, from Alexandria via LeMat-Bulk.

Structure (POSCAR):
```
InSnAs3
1.0
5.315 0.000 0.000
0.000 5.315 0.000
0.000 0.000 5.315
In Sn As
1 1 3
Direct
0.000 0.000 0.000 In
0.500 0.500 0.500 Sn
0.000 0.500 0.500 As
0.500 0.000 0.500 As
0.500 0.500 0.000 As
```

- ρ (Mg/m³) = 5.07
- offset from the most stable computed form (meV/atom) = 0.0
- ΔE_f (meV/atom) = 715


# 6
The following is a PBE calculation of an optimized crystal structure of Ta2InSnAs, from Alexandria via LeMat-Bulk.

Structure (POSCAR):
```
Ta2InSnAs
1.0
5.186 0.000 0.000
0.000 5.186 0.000
0.000 0.000 5.277
Ta In Sn As
2 1 1 1
Direct
0.000 0.500 0.000 Ta
0.500 0.000 0.000 Ta
0.000 0.000 0.500 In
0.000 0.000 0.000 Sn
0.500 0.500 0.500 As
```

- ρ (Mg/m³) = 7.84
- ΔE_f (meV/atom) = 1860